# 1
The following is a DFT calculation (GGA-PBEsol) of a geometry-optimized Li3Fe2P4HO14 structure.

```
data_Li3Fe2P4HO14
_chemical_formula_sum 'Li3 Fe2 P4 H1 O14'
_cell_length_a 4.848
_cell_length_b 4.940
_cell_length_c 12.699
_cell_angle_alpha 86.40
_cell_angle_beta 84.80
_cell_angle_gamma 63.33
_symmetry_space_group_name_H-M 'P -1'
_symmetry_Int_Tables_number 2
_symmetry_space_group_name_Hall '-P 1'
loop_
_atom_site_label
_atom_site_type_symbol
_atom_site_fract_x
_atom_site_fract_y
_atom_site_fract_z
Li1 Li 0.000 0.000 0.000
Li2 Li 0.196 0.292 0.426
Fe1 Fe 0.084 0.983 0.750
P1 P 0.396 0.367 0.872
P2 P 0.458 0.348 0.647
H1 H 0.500 0.000 0.000
O1 O 0.211 0.710 0.876
O2 O 0.217 0.923 0.363
O3 O 0.238 0.357 0.569
O4 O 0.257 0.747 0.138
O5 O 0.288 0.203 0.960
O6 O 0.301 0.277 0.761
O7 O 0.469 0.648 0.662
```

Properties
total DFT energy (no corrections)	-0.2614	hartree per atom
DOS(E_F)	8.57	states/eV/f.u.



# 2
The following is a DFT calculation (GGA-PBEsol) of a geometry-optimized Ag2AsSCl structure.

```
data_Ag2AsSCl
_chemical_formula_sum 'Ag2 As1 S1 Cl1'
_cell_length_a 4.680
_cell_length_b 4.680
_cell_length_c 5.174
_cell_angle_alpha 90.00
_cell_angle_beta 90.00
_cell_angle_gamma 90.00
_symmetry_space_group_name_H-M 'P 4/m m m'
_symmetry_Int_Tables_number 123
_symmetry_space_group_name_Hall '-P 4 2'
loop_
_atom_site_label
_atom_site_type_symbol
_atom_site_fract_x
_atom_site_fract_y
_atom_site_fract_z
Ag1 Ag 0.000 0.500 0.000
As1 As 0.000 0.000 0.500
S1 S 0.500 0.500 0.500
Cl1 Cl 0.000 0.000 0.000
```

Properties
energy relative to the elements, uncorrected	0.82	eV/atom
DOS(E_F)	2.78	states/eV/f.u.



# 3
The following is a DFT calculation (GGA-PBEsol) of a geometry-optimized AlHS2 structure.

```
data_AlHS2
_chemical_formula_sum 'Al3 H3 S6'
_cell_length_a 3.5380
_cell_length_b 3.5380
_cell_length_c 17.4272
_cell_angle_alpha 90.00
_cell_angle_beta 90.00
_cell_angle_gamma 120.00
_symmetry_space_group_name_H-M 'R -3 m'
_symmetry_Int_Tables_number 166
_symmetry_space_group_name_Hall '-R 3 2"'
loop_
_atom_site_label
_atom_site_type_symbol
_atom_site_fract_x
_atom_site_fract_y
_atom_site_fract_z
Al1 Al 0.0000 0.0000 0.0000
H1 H 0.0000 0.0000 0.5000
S1 S 0.0000 0.0000 0.4062
```

Properties
total DFT energy (no corrections)	-0.1749	hartree per atom
DOS(E_F)	0.00	states/eV/f.u.



# 4
The following is a DFT calculation (GGA-PBEsol) of a geometry-optimized Ba2WCl structure.

```
data_Ba2WCl
_chemical_formula_sum 'Ba6 W3 Cl3'
_cell_length_a 3.5849
_cell_length_b 3.5849
_cell_length_c 32.4943
_cell_angle_alpha 90.00
_cell_angle_beta 90.00
_cell_angle_gamma 120.00
_symmetry_space_group_name_H-M 'R 3 m'
_symmetry_Int_Tables_number 160
_symmetry_space_group_name_Hall 'R 3 -2"'
loop_
_atom_site_label
_atom_site_type_symbol
_atom_site_fract_x
_atom_site_fract_y
_atom_site_fract_z
Ba1 Ba 0.0000 0.0000 0.0000
Ba2 Ba 0.0000 0.0000 0.2137
W1 W 0.0000 0.0000 0.7417
Cl1 Cl 0.0000 0.0000 0.4772
```

Properties
energy relative to the elements, uncorrected	0.77	eV/atom
DOS(E_F)	4.32	states/eV/f.u.
excess energy over the best structure of this formula in the dataset	0.585	eV per atom



# 5
The following is a DFT calculation (GGA-PBEsol) of a geometry-optimized Zr2MnCl structure.

```
data_Zr2MnCl
_chemical_formula_sum 'Zr4 Mn2 Cl2'
_cell_length_a 6.066
_cell_length_b 7.190
_cell_length_c 3.084
_cell_angle_alpha 90.00
_cell_angle_beta 90.00
_cell_angle_gamma 90.00
_symmetry_space_group_name_H-M 'C m m m'
_symmetry_Int_Tables_number 65
_symmetry_space_group_name_Hall '-C 2 2'
loop_
_atom_site_label
_atom_site_type_symbol
_atom_site_fract_x
_atom_site_fract_y
_atom_site_fract_z
Zr1 Zr 0.250 0.250 0.000
Mn1 Mn 0.000 0.000 0.500
Cl1 Cl 0.000 0.500 0.500
```

Properties
energy relative to the elements, uncorrected	-0.07	eV/atom
DOS(E_F)	4.36	states/eV/f.u.
excess energy over the best structure of this formula in the dataset	0.361	eV per atom



# 6
The following is a DFT calculation (GGA-PBEsol) of a geometry-optimized NbTcAu3 structure.

```
data_NbTcAu3
_chemical_formula_sum 'Nb1 Tc1 Au3'
_cell_length_a 4.974
_cell_length_b 4.974
_cell_length_c 4.974
_cell_angle_alpha 90.00
_cell_angle_beta 90.00
_cell_angle_gamma 90.00
_symmetry_space_group_name_H-M 'P m -3 m'
_symmetry_Int_Tables_number 221
_symmetry_space_group_name_Hall '-P 4 2 3'
loop_
_atom_site_label
_atom_site_type_symbol
_atom_site_fract_x
_atom_site_fract_y
_atom_site_fract_z
Nb1 Nb 0.000 0.000 0.000
Tc1 Tc 0.500 0.500 0.500
Au1 Au 0.000 0.000 0.500
```

Properties
total DFT energy (no corrections)	-0.1836	hartree per atom
DOS(E_F)	5.21	states/eV/f.u.



# 7
The following is a DFT calculation (GGA-PBEsol) of a geometry-optimized ZnCu2Ni structure.

```
data_ZnCu2Ni
_chemical_formula_sum 'Zn1 Cu2 Ni1'
_cell_length_a 2.535
_cell_length_b 3.578
_cell_length_c 5.043
_cell_angle_alpha 90.00
_cell_angle_beta 90.00
_cell_angle_gamma 90.00
_symmetry_space_group_name_H-M 'P m m m'
_symmetry_Int_Tables_number 47
_symmetry_space_group_name_Hall '-P 2 2'
loop_
_atom_site_label
_atom_site_type_symbol
_atom_site_fract_x
_atom_site_fract_y
_atom_site_fract_z
Zn1 Zn 0.000 0.000 0.000
Cu1 Cu 0.500 0.500 0.257
Ni1 Ni 0.000 0.000 0.500
```

Properties
total DFT energy (no corrections)	-0.1533	hartree per atom
DOS(E_F)	1.67	states/eV/f.u.



# 8
The following is a DFT calculation (GGA-PBEsol) of a geometry-optimized LaCr2Mo structure.

```
data_LaCr2Mo
_chemical_formula_sum 'La2 Cr4 Mo2'
_cell_length_a 8.944
_cell_length_b 3.115
_cell_length_c 5.730
_cell_angle_alpha 90.00
_cell_angle_beta 109.47
_cell_angle_gamma 90.00
_symmetry_space_group_name_H-M 'C 1 2/m 1'
_symmetry_Int_Tables_number 12
_symmetry_space_group_name_Hall '-C 2y'
loop_
_atom_site_label
_atom_site_type_symbol
_atom_site_fract_x
_atom_site_fract_y
_atom_site_fract_z
La1 La 0.000 0.000 0.000
Cr1 Cr 0.221 0.000 0.621
Mo1 Mo 0.000 0.500 0.500
```

Properties
DOS(E_F)	4.80	states/eV/f.u.
excess energy over the best structure of this formula in the dataset	0.148	eV per atom



# 9
The following is a DFT calculation (GGA-PBEsol) of a geometry-optimized InCoP2Cl structure.

```
data_InCoP2Cl
_chemical_formula_sum 'In1 Co1 P2 Cl1'
_cell_length_a 4.953
_cell_length_b 4.953
_cell_length_c 5.018
_cell_angle_alpha 90.00
_cell_angle_beta 90.00
_cell_angle_gamma 90.00
_symmetry_space_group_name_H-M 'P 4/m m m'
_symmetry_Int_Tables_number 123
_symmetry_space_group_name_Hall '-P 4 2'
loop_
_atom_site_label
_atom_site_type_symbol
_atom_site_fract_x
_atom_site_fract_y
_atom_site_fract_z
In1 In 0.000 0.000 0.000
Co1 Co 0.500 0.500 0.500
P1 P 0.000 0.500 0.000
Cl1 Cl 0.000 0.000 0.500
```

Properties
energy relative to the elements, uncorrected	1.32	eV/atom
DOS(E_F)	3.07	states/eV/f.u.



# 10
The following is a DFT calculation (GGA-PBEsol) of a geometry-optimized MgZrRh2 structure.

```
data_MgZrRh2
_chemical_formula_sum 'Mg4 Zr4 Rh8'
_cell_length_a 6.331
_cell_length_b 6.331
_cell_length_c 6.331
_cell_angle_alpha 90.00
_cell_angle_beta 90.00
_cell_angle_gamma 90.00
_symmetry_space_group_name_H-M 'F m -3 m'
_symmetry_Int_Tables_number 225
_symmetry_space_group_name_Hall '-F 4 2 3'
loop_
_atom_site_label
_atom_site_type_symbol
_atom_site_fract_x
_atom_site_fract_y
_atom_site_fract_z
Mg1 Mg 0.000 0.000 0.000
Zr1 Zr 0.000 0.000 0.500
Rh1 Rh 0.250 0.250 0.250
```

Properties
total DFT energy (no corrections)	-0.2771	hartree per atom
DOS(E_F)	0.84	states/eV/f.u.



# 11
The following is a DFT calculation (GGA-PBEsol) of a geometry-optimized NaGa2Pd2 structure.

```
data_NaGa2Pd2
_chemical_formula_sum 'Na2 Ga4 Pd4'
_cell_length_a 4.051
_cell_length_b 4.051
_cell_length_c 10.858
_cell_angle_alpha 90.00
_cell_angle_beta 90.00
_cell_angle_gamma 90.00
_symmetry_space_group_name_H-M 'I 4/m m m'
_symmetry_Int_Tables_number 139
_symmetry_space_group_name_Hall '-I 4 2'
loop_
_atom_site_label
_atom_site_type_symbol
_atom_site_fract_x
_atom_site_fract_y
_atom_site_fract_z
Na1 Na 0.000 0.000 0.000
Ga1 Ga 0.000 0.000 0.383
Pd1 Pd 0.000 0.500 0.250
```

Properties
DOS(E_F)	1.45	states/eV/f.u.
excess energy over the best structure of this formula in the dataset	0.073	eV per atom



# 12
The following is a DFT calculation (GGA-PBEsol) of a geometry-optimized KMoAs2 structure.

```
data_KMoAs2
_chemical_formula_sum 'K4 Mo4 As8'
_cell_length_a 6.706
_cell_length_b 6.706
_cell_length_c 6.706
_cell_angle_alpha 90.00
_cell_angle_beta 90.00
_cell_angle_gamma 90.00
_symmetry_space_group_name_H-M 'F m -3 m'
_symmetry_Int_Tables_number 225
_symmetry_space_group_name_Hall '-F 4 2 3'
loop_
_atom_site_label
_atom_site_type_symbol
_atom_site_fract_x
_atom_site_fract_y
_atom_site_fract_z
K1 K 0.000 0.000 0.000
Mo1 Mo 0.000 0.000 0.500
As1 As 0.250 0.250 0.250
```

Properties
total DFT energy (no corrections)	-0.1960	hartree per atom
DOS(E_F)	1.49	states/eV/f.u.